(1)
Below is MoRu2RhS at its PBEsol-relaxed geometry, with properties calculated at the SCAN level.

E_form (uncorrected) ... 1.976 eV/atom
SG ... No. 123

Cell: 4.623 4.578 4.578 Å, 90.00 90.00 90.00°
Sites, in units of the cell vectors:
Ru 0.000 0.000 0.500
Ru 0.000 0.500 0.000
Mo 0.500 0.000 0.000
Rh 0.000 0.000 0.000
S 0.500 0.500 0.500



(2)
Below is HfAlNi at its PBEsol-relaxed geometry, with properties calculated at the SCAN level.

Formation energy from the elements ... -0.72 eV/atom
SG ... No. 189

Cell: 3.406 6.807 6.807 Å, 120.00 90.00 90.00°
Sites, in units of the cell vectors:
Ni 0.500 0.000 0.000
Ni 0.000 0.667 0.333
Ni 0.000 0.333 0.667
Hf 0.500 0.000 0.592
Hf 0.500 0.408 0.408
Hf 0.500 0.592 0.000
Al 0.000 0.000 0.251
Al 0.000 0.749 0.749
Al 0.000 0.251 0.000



(3)
Below is TlCrCo2 at its PBEsol-relaxed geometry, with properties calculated at the SCAN level.

Formation energy from the elements ... 0.55 eV/atom
SG ... No. 25
Energy relative to the lowest polymorph listed for this composition ... 0.0000 eV/atom

Cell: 2.770 3.396 5.700 Å, 90.00 90.00 90.00°
Sites, in units of the cell vectors:
Co 0.500 0.000 0.043
Co 0.000 0.500 0.263
Cr 0.500 0.000 0.434
Tl 0.000 0.500 0.760



(4)
Below is ScTaCo2 at its PBEsol-relaxed geometry, with properties calculated at the SCAN level.

Formation energy from the elements ... -0.29 eV/atom
SG ... No. 123

Cell: 2.891 4.404 4.404 Å, 90.00 90.00 90.00°
Sites, in units of the cell vectors:
Sc 0.500 0.500 0.500
Co 0.000 0.000 0.500
Co 0.000 0.500 0.000
Ta 0.500 0.000 0.000



(5)
Below is YB4Ru at its PBEsol-relaxed geometry, with properties calculated at the SCAN level.

Formation energy from the elements ... -0.71 eV/atom
SG ... No. 55

Cell: 3.507 5.928 11.467 Å, 90.00 90.00 90.00°
Sites, in units of the cell vectors:
Y 0.000 0.629 0.350
Y 0.000 0.371 0.650
Y 0.000 0.129 0.150
Y 0.000 0.871 0.850
B 0.500 0.788 0.185
B 0.500 0.212 0.815
B 0.500 0.288 0.315
B 0.500 0.712 0.685
B 0.500 0.864 0.031
B 0.500 0.136 0.969
B 0.500 0.364 0.469
B 0.500 0.636 0.531
B 0.500 0.888 0.453
B 0.500 0.112 0.547
B 0.500 0.388 0.047
B 0.500 0.612 0.953
B 0.500 0.976 0.308
B 0.500 0.024 0.692
B 0.500 0.476 0.192
B 0.500 0.524 0.808
Ru 0.000 0.639 0.092
Ru 0.000 0.361 0.908
Ru 0.000 0.139 0.408
Ru 0.000 0.861 0.592



(6)
Below is Sr2NdTaCu2O8 at its PBEsol-relaxed geometry, with properties calculated at the SCAN level.

E_form (uncorrected) ... -2.631 eV/atom
SG ... No. 123

Cell: 3.908 3.908 11.509 Å, 90.00 90.00 90.00°
Sites, in units of the cell vectors:
Sr 0.500 0.500 0.200
Sr 0.500 0.500 0.800
Nd 0.500 0.500 0.500
Ta 0.000 0.000 0.000
Cu 0.000 0.000 0.358
Cu 0.000 0.000 0.642
O 0.000 0.000 0.170
O 0.000 0.000 0.830
O 0.000 0.500 0.000
O 0.500 0.000 0.000
O 0.000 0.500 0.368
O 0.000 0.500 0.632
O 0.500 0.000 0.368
O 0.500 0.000 0.632



(7)
Below is As2RhBrCl at its PBEsol-relaxed geometry, with properties calculated at the SCAN level.

E_form (uncorrected) ... 0.270 eV/atom
SG ... No. 123

Cell: 4.720 4.720 5.067 Å, 90.00 90.00 90.00°
Sites, in units of the cell vectors:
As 0.000 0.500 0.000
As 0.500 0.000 0.000
Rh 0.000 0.000 0.000
Br 0.000 0.000 0.500
Cl 0.500 0.500 0.500



(8)
Below is Li2CaCd at its PBEsol-relaxed geometry, with properties calculated at the SCAN level.

Formation energy from the elements ... -0.13 eV/atom
SG ... No. 10
Energy relative to the lowest polymorph listed for this composition ... 0.0722 eV/atom

Cell: 3.502 5.085 5.510 Å, 90.00 96.00 90.00°
Sites, in units of the cell vectors:
Ca 0.500 0.500 0.000
Cd 0.000 0.500 0.500
Li 0.803 0.000 0.709
Li 0.197 0.000 0.291



(9)
Below is BeTcF2 at its PBEsol-relaxed geometry, with properties calculated at the SCAN level.

E_form (uncorrected) ... -1.060 eV/atom
SG ... No. 166

Cell: 2.628 2.628 9.669 Å, 82.19 82.19 60.00°
Sites, in units of the cell vectors:
Be 0.000 0.000 0.000
Tc 0.500 0.500 0.500
F 0.952 0.952 0.144
F 0.048 0.048 0.856



(10)
Below is Zn2TcAs at its PBEsol-relaxed geometry, with properties calculated at the SCAN level.

Formation energy from the elements ... 0.08 eV/atom
SG ... No. 44

Cell: 3.332 4.221 4.883 Å, 115.61 109.95 90.00°
Sites, in units of the cell vectors:
As 0.508 0.508 0.015
Tc 0.239 0.739 0.479
Zn 0.004 0.004 0.009
Zn 0.749 0.249 0.497



(11)
Below is Li2TeIr at its PBEsol-relaxed geometry, with properties calculated at the SCAN level.

E_form (uncorrected) ... -0.471 eV/atom
SG ... No. 119

Cell: 4.385 4.385 4.385 Å, 89.87 60.08 119.92°
Sites, in units of the cell vectors:
Ir 0.500 0.750 0.750
Te 0.000 0.500 0.500
Li 0.000 0.000 0.000
Li 0.500 0.250 0.250



(12)
Below is Ca4PCl at its PBEsol-relaxed geometry, with properties calculated at the SCAN level.

E_form (uncorrected) ... 0.051 eV/atom
SG ... No. 216

Cell: 6.398 6.398 6.398 Å, 60.00 60.00 60.00°
Sites, in units of the cell vectors:
Ca 0.373 0.373 0.373
Ca 0.373 0.373 0.880
Ca 0.880 0.373 0.373
Ca 0.373 0.880 0.373
Cl 0.750 0.750 0.750
P 0.000 0.000 0.000



(13)
Below is AsPPbCl2 at its PBEsol-relaxed geometry, with properties calculated at the SCAN level.

E_form (uncorrected) ... 0.424 eV/atom
SG ... No. 123

Cell: 5.204 5.204 5.503 Å, 90.00 90.00 90.00°
Sites, in units of the cell vectors:
Pb 0.000 0.000 0.000
P 0.000 0.000 0.500
As 0.500 0.500 0.500
Cl 0.000 0.500 0.000
Cl 0.500 0.000 0.000



(14)
Below is CrRhCl2 at its PBEsol-relaxed geometry, with properties calculated at the SCAN level.

E_form (uncorrected) ... 0.125 eV/atom
SG ... No. 123
Energy relative to the lowest polymorph listed for this composition ... 0.5565 eV/atom

Cell: 3.111 3.111 6.272 Å, 90.00 90.00 90.00°
Sites, in units of the cell vectors:
Cr 0.500 0.500 0.000
Rh 0.500 0.500 0.500
Cl 0.000 0.000 0.760
Cl 0.000 0.000 0.240



(15)
Below is TcRh2Cl at its PBEsol-relaxed geometry, with properties calculated at the SCAN level.

E_form (uncorrected) ... 0.422 eV/atom
SG ... No. 10
Energy relative to the lowest polymorph listed for this composition ... 0.0568 eV/atom

Cell: 2.783 3.934 5.202 Å, 90.00 102.94 90.00°
Sites, in units of the cell vectors:
Cl 0.500 0.500 0.500
Rh 0.879 0.000 0.751
Rh 0.121 0.000 0.249
Tc 0.500 0.500 0.000



(16)
Below is Hf3GePb at its PBEsol-relaxed geometry, with properties calculated at the SCAN level.

Formation energy from the elements ... 1.40 eV/atom
SG ... No. 221

Cell: 5.228 5.228 5.228 Å, 90.00 90.00 90.00°
Sites, in units of the cell vectors:
Pb 0.000 0.000 0.000
Ge 0.500 0.500 0.500
Hf 0.000 0.500 0.000
Hf 0.000 0.000 0.500
Hf 0.500 0.000 0.000



(17)
Below is MgZnAs2 at its PBEsol-relaxed geometry, with properties calculated at the SCAN level.

Formation energy from the elements ... -0.05 eV/atom
SG ... No. 44
Energy relative to the lowest polymorph listed for this composition ... 0.0715 eV/atom

Cell: 3.561 4.066 5.748 Å, 110.72 108.05 90.00°
Sites, in units of the cell vectors:
As 0.000 0.000 0.999
As 0.712 0.212 0.423
Mg 0.502 0.502 0.004
Zn 0.287 0.787 0.574



(18)
Below is BaSrZn2 at its PBEsol-relaxed geometry, with properties calculated at the SCAN level.

Formation energy from the elements ... -0.19 eV/atom
SG ... No. 123

Cell: 3.919 3.919 7.824 Å, 90.00 90.00 90.00°
Sites, in units of the cell vectors:
Sr 0.500 0.500 0.500
Zn 0.000 0.000 0.733
Zn 0.000 0.000 0.267
Ba 0.500 0.500 0.000



(19)
Below is AlTcI3 at its PBEsol-relaxed geometry, with properties calculated at the SCAN level.

E_form (uncorrected) ... 0.413 eV/atom
SG ... No. 221

Cell: 5.441 5.441 5.441 Å, 90.00 90.00 90.00°
Sites, in units of the cell vectors:
I 0.000 0.500 0.000
I 0.000 0.000 0.500
I 0.500 0.000 0.000
Tc 0.000 0.000 0.000
Al 0.500 0.500 0.500



(20)
Below is SeBr2O at its PBEsol-relaxed geometry, with properties calculated at the SCAN level.

E_form (uncorrected) ... 0.678 eV/atom
SG ... No. 166

Cell: 3.589 3.589 8.132 Å, 77.25 77.25 60.00°
Sites, in units of the cell vectors:
O 0.000 0.000 0.000
Se 0.500 0.500 0.500
Br 0.917 0.917 0.248
Br 0.083 0.083 0.752



(21)
Below is TlReP2 at its PBEsol-relaxed geometry, with properties calculated at the SCAN level.

Formation energy from the elements ... 0.20 eV/atom
SG ... No. 122
Energy relative to the lowest polymorph listed for this composition ... 0.0000 eV/atom

Cell: 5.798 5.798 6.987 Å, 114.52 114.52 90.00°
Sites, in units of the cell vectors:
Re 0.750 0.250 0.500
Re 0.500 0.500 0.000
Tl 0.250 0.750 0.500
Tl 0.000 0.000 0.000
P 0.460 0.875 0.250
P 0.790 0.375 0.250
P 0.125 0.210 0.750
P 0.625 0.540 0.750



(22)
Below is YCrPCl2 at its PBEsol-relaxed geometry, with properties calculated at the SCAN level.

E_form (uncorrected) ... -0.942 eV/atom
SG ... No. 123

Cell: 4.499 4.499 4.980 Å, 90.00 90.00 90.00°
Sites, in units of the cell vectors:
Y 0.500 0.500 0.500
Cr 0.000 0.000 0.000
P 0.000 0.000 0.500
Cl 0.000 0.500 0.000
Cl 0.500 0.000 0.000



(23)
Below is CuNi2Rh at its PBEsol-relaxed geometry, with properties calculated at the SCAN level.

Formation energy from the elements ... 0.05 eV/atom
SG ... No. 123

Cell: 2.584 2.584 6.887 Å, 90.00 90.00 90.00°
Sites, in units of the cell vectors:
Ni 0.000 0.000 0.743
Ni 0.000 0.000 0.257
Rh 0.500 0.500 0.000
Cu 0.500 0.500 0.500



(24)
Below is Hg2TePb at its PBEsol-relaxed geometry, with properties calculated at the SCAN level.

E_form (uncorrected) ... -0.018 eV/atom
SG ... No. 119
Energy relative to the lowest polymorph listed for this composition ... 0.0947 eV/atom

Cell: 5.467 5.327 5.467 Å, 120.87 90.00 120.87°
Sites, in units of the cell vectors:
Hg 0.000 0.000 0.000
Hg 0.750 0.500 0.250
Pb 0.500 0.000 0.500
Te 0.250 0.500 0.750



(25)
Below is YTe2Se at its PBEsol-relaxed geometry, with properties calculated at the SCAN level.

E_form (uncorrected) ... -0.758 eV/atom
SG ... No. 12

Cell: 4.240 5.614 5.614 Å, 116.05 102.95 102.95°
Sites, in units of the cell vectors:
Se 0.500 0.500 0.500
Te 0.000 0.500 0.000
Te 0.000 0.000 0.500
Y 0.500 0.000 0.000



(26)
Below is Ca2TlPb at its PBEsol-relaxed geometry, with properties calculated at the SCAN level.

Formation energy from the elements ... -0.70 eV/atom
SG ... No. 123
Energy relative to the lowest polymorph listed for this composition ... 0.0000 eV/atom

Cell: 3.863 5.414 5.414 Å, 90.05 90.00 90.00°
Sites, in units of the cell vectors:
Pb 0.500 0.000 0.000
Tl 0.500 0.500 0.500
Ca 0.000 0.500 0.000
Ca 0.000 0.000 0.500



(27)
Below is Sc2HgSe2 at its PBEsol-relaxed geometry, with properties calculated at the SCAN level.

E_form (uncorrected) ... -1.158 eV/atom
SG ... No. 139

Cell: 4.666 4.666 6.501 Å, 111.03 111.03 90.00°
Sites, in units of the cell vectors:
Sc 0.250 0.750 0.500
Sc 0.750 0.250 0.500
Hg 0.000 0.000 0.000
Se 0.355 0.355 0.710
Se 0.645 0.645 0.290



(28)
Below is Hg5Pb at its PBEsol-relaxed geometry, with properties calculated at the SCAN level.

Formation energy from the elements ... 0.04 eV/atom
SG ... No. 8
Energy relative to the lowest polymorph listed for this composition ... 0.0019 eV/atom

Cell: 3.520 6.545 6.774 Å, 103.22 90.00 105.60°
Sites, in units of the cell vectors:
Hg 0.021 0.041 0.061
Hg 0.695 0.389 0.389
Hg 0.369 0.737 0.718
Hg 0.362 0.723 0.232
Hg 0.027 0.054 0.545
Pb 0.694 0.389 0.888



no.,D(E_F) (states/eV/cell)
1,5.77
2,3.63
3,2.90
4,1.78
5,2.76
6,2.33
7,3.74
8,2.34
9,1.54
10,1.67
11,1.62
12,2.87
13,1.73
14,3.59
15,3.09
16,6.16
17,1.32
18,2.40
19,2.27
20,1.62
21,2.87
22,1.32
23,2.47
24,1.05
25,1.83
26,1.17
27,1.93
28,1.98